(1)
# YNi2PdF PBE with a Hubbard U optimized geometry
data_YNi2PdF
_chemical_formula_sum 'Y1 Ni2 Pd1 F1'
_space_group_name_H-M_alt 'P 4/m m m'
_space_group_IT_number 123
_space_group_name_Hall '-P 4 2'
_cell_length_a 4.776
_cell_length_b 4.776
_cell_length_c 4.128
_cell_angle_alpha 90.00
_cell_angle_beta 90.00
_cell_angle_gamma 90.00
loop_
_atom_site_label
_atom_site_type_symbol
_atom_site_fract_x
_atom_site_fract_y
_atom_site_fract_z
Y1 Y 0.000 0.000 0.000
Ni1 Ni 0.000 0.500 0.000
Pd1 Pd 0.500 0.500 0.500
F1 F 0.000 0.000 0.500
# Raw total energy, eV per atom: -3.319
# Crystal system: tetragonal
# Mass density, g/cm³: 5.85



(2)
# Mo2IrO PBE with a Hubbard U optimized geometry
data_Mo2IrO
_chemical_formula_sum 'Mo8 Ir4 O4'
_space_group_name_H-M_alt 'I -4 2 d'
_space_group_IT_number 122
_space_group_name_Hall 'I -4 2bw'
_cell_length_a 5.272
_cell_length_b 5.272
_cell_length_c 10.344
_cell_angle_alpha 90.00
_cell_angle_beta 90.00
_cell_angle_gamma 90.00
loop_
_atom_site_label
_atom_site_type_symbol
_atom_site_fract_x
_atom_site_fract_y
_atom_site_fract_z
Mo1 Mo 0.181 0.250 0.125
Ir1 Ir 0.000 0.000 0.500
O1 O 0.000 0.000 0.000
# Raw total energy, eV per atom: -6.566
# Crystal system: tetragonal
# Mass density, g/cm³: 9.24